Below is a geometry-optimized Ca2TaGaW structure, with properties calculated at the PBE-GGA level.

The value obtained for the total energy is -4.285 eV per atom. For the formation energy, the calculation gives 200.9 kJ per mole of atoms. The crystal system is tetragonal.

Cell lengths 5.3758, 5.3758, 4.9233 Å; angles 90.00, 90.00, 90.00 degrees
Closest atoms and distances in Å follow each position.
Positions (direct):
Ca  0.0000  0.5000  0.0000  2 Ta 2.69
Ca  0.5000  0.0000  0.0000  2 Ta 2.69
Ta  0.0000  0.0000  0.0000  2 Ga 2.46, 4 Ca 2.69
Ga  0.0000  0.0000  0.5000  2 Ta 2.46
W  0.5000  0.5000  0.5000  8 Ca 3.64, 4 Ga 3.80

***

Below is a geometry-optimized Ca2TaZnGa structure, with properties calculated at the PBE-GGA level.

The value obtained for the total energy is -3.186 eV per atom. For the formation energy, the calculation gives 81.5 kJ per mole of atoms. The crystal system is tetragonal.

Cell lengths 5.6399, 5.6399, 4.5344 Å; angles 90.00, 90.00, 90.00 degrees
Closest atoms and distances in Å follow each position.
Positions (direct):
Ca  0.0000  0.5000  0.0000  2 Ga 2.82
Ca  0.5000  0.0000  0.0000  2 Ga 2.82
Ta  0.0000  0.0000  0.5000  8 Ca 3.62, 4 Zn 3.99
Zn  0.5000  0.5000  0.5000  2 Ga 2.27
Ga  0.5000  0.5000  0.0000  2 Zn 2.27